Below is a relaxed structure of ScInFe2, with properties calculated at the GGA-PBEsol level.

a = 2.9569 Å, b = 2.9569 Å, c = 25.4393 Å
α = 90.00°, β = 90.00°, γ = 120.00°
Closest atoms and distances in Å follow each position.
Space group R-3m (No. 166, hexagonal axes)
Unique sites:
Sc1 0.0000 0.0000 0.0000 (multiplicity 3)  6 Fe 2.71, 6 Sc 2.96
In1 0.0000 0.0000 0.5000 (multiplicity 3)  6 Fe 2.74, 6 In 2.96
Fe1 0.0000 0.0000 0.2508 (multiplicity 6)  3 Sc 2.71, 3 In 2.74, 6 Fe 2.96

Output
calculated formation energy: 8.40 kcal/mol of atoms
theoretical density: 7.02 g/cm3